# Ag5H2Se2 | Alexandria | PBE | relaxed
data_Ag5H2Se2
_chemical_formula_sum 'Ag5 H2 Se2'
_cell_length_a 4.497
_cell_length_b 5.708
_cell_length_c 6.736
_cell_angle_alpha 98.47
_cell_angle_beta 103.26
_cell_angle_gamma 96.76
_space_group_name_H-M_alt 'P -1'
_space_group_IT_number 2
_space_group_name_Hall '-P 1'
loop_
_atom_site_label
_atom_site_type_symbol
_atom_site_fract_x
_atom_site_fract_y
_atom_site_fract_z
_atom_site_occupancy
Ag1 Ag 0.000 0.000 0.000 1
Ag2 Ag 0.252 0.857 0.601 1
Ag3 Ag 0.308 0.451 0.272 1
H1 H 0.382 0.136 0.208 1
Se1 Se 0.153 0.305 0.764 1
# raw total energy = -27.1 eV per cell